Crystalline LiTmTeO at its relaxed geometry. Source: OQMD via LeMat-Bulk, functional GGA-PBE.

```
LiTmTeO
1.0
3.943 0.000 0.000
0.000 6.601 0.000
0.000 0.000 6.725
Li Tm Te O
2 2 2 2
direct
0.000 0.181 0.000
0.000 0.819 0.500
0.500 0.487 0.276
0.500 0.513 0.776
0.000 0.244 0.533
0.000 0.756 0.033
0.500 0.300 0.017
0.500 0.700 0.517
```

Raw total energy (eV/atom): -5.6086